1.
Computed, not measured: crystalline AcIn2Ag5 at its relaxed geometry at the PBE level of DFT.

## Properties
Its formation energy is -0.147 eV per atom.

Cell lengths 7.170, 7.170, 7.170 Å; angles 144.65, 115.20, 76.03 degrees
Fractional coordinates of all 8 atoms:
1 Ac 0.000 0.000 0.000
2 In 0.250 0.750 0.500
3 In 0.750 0.250 0.500
4 Ag 0.186 0.373 0.813
5 Ag 0.440 0.627 0.813
6 Ag 0.500 0.000 0.500
7 Ag 0.560 0.373 0.187
8 Ag 0.814 0.627 0.187

2.
Computed, not measured: crystalline Nd4Sm3Y2 at its relaxed geometry at the PBE level of DFT.

## Properties
As for the energy above the lowest structure with this stoichiometry: 0.0 meV/atom. Its formation energy is 0.013 eV per atom.

Cell lengths 6.300, 6.303, 9.625 Å; angles 90.03, 108.96, 119.97 degrees
Fractional coordinates of all 9 atoms:
1 Nd 0.110 0.389 0.166
2 Nd 0.333 0.166 0.500
3 Nd 0.667 0.834 0.500
4 Nd 0.890 0.611 0.834
5 Sm 0.000 0.500 0.500
6 Sm 0.445 0.055 0.165
7 Sm 0.555 0.945 0.835
8 Y 0.223 0.278 0.834
9 Y 0.777 0.722 0.166

3.
Computed, not measured: crystalline DyGa4Tc at its relaxed geometry at the PBE level of DFT.

## Properties
As for the energy above the lowest structure with this stoichiometry: 118.8 meV/atom. Its formation energy is -0.130 eV per atom.

Cell lengths 5.362, 5.362, 5.362 Å; angles 128.26, 112.47, 89.92 degrees
Fractional coordinates of all 6 atoms:
1 Dy 0.000 0.000 0.000
2 Ga 0.111 0.336 0.774
3 Ga 0.438 0.664 0.774
4 Ga 0.562 0.336 0.226
5 Ga 0.889 0.664 0.226
6 Tc 0.500 0.000 0.500

4.
Computed, not measured: crystalline Ca8PdN4 at its relaxed geometry at the PBE level of DFT.

## Properties
Its uncorrected formation energy is -0.686 eV/atom.

Cell lengths 7.498, 7.498, 7.498 Å; angles 60.00, 60.00, 60.00 degrees
Fractional coordinates of all 13 atoms:
1 Ca 0.395 0.395 0.395
2 Ca 0.395 0.395 0.814
3 Ca 0.395 0.814 0.395
4 Ca 0.425 0.858 0.858
5 Ca 0.814 0.395 0.395
6 Ca 0.858 0.425 0.858
7 Ca 0.858 0.858 0.425
8 Ca 0.858 0.858 0.858
9 Pd 0.250 0.250 0.250
10 N 0.121 0.626 0.626
11 N 0.626 0.121 0.626
12 N 0.626 0.626 0.121
13 N 0.626 0.626 0.626

5.
Computed, not measured: crystalline NbCo2PRh at its relaxed geometry at the PBE level of DFT.

## Properties
Its formation energy is 1.495 eV per atom.

Cell lengths 4.445, 4.445, 4.735 Å; angles 90.00, 90.00, 90.00 degrees
Fractional coordinates of all 5 atoms:
1 Nb 0.000 0.000 0.000
2 Co 0.000 0.500 0.000
3 Co 0.500 0.000 0.000
4 P 0.500 0.500 0.500
5 Rh 0.000 0.000 0.500

6.
Computed, not measured: crystalline LiB2P at its relaxed geometry at the PBE level of DFT.

## Properties
Its formation energy is 0.740 eV per atom.

Cell lengths 5.409, 5.409, 5.409 Å; angles 121.47, 121.47, 87.48 degrees
Fractional coordinates of all 8 atoms:
1 Li 0.000 0.000 0.000
2 Li 0.750 0.250 0.500
3 B 0.192 0.625 0.067
4 B 0.375 0.442 0.567
5 B 0.558 0.125 0.933
6 B 0.875 0.808 0.433
7 P 0.250 0.750 0.500
8 P 0.500 0.500 0.000

| no. | VASP energy (Ha/atom) |
| --- | --- |
| 1 | -0.115 |
| 2 | -0.188 |
| 3 | -0.171 |
| 4 | -0.179 |
| 5 | -0.217 |
| 6 | -0.163 |